Entry 1:
CeMg3: relaxed, PBE-GGA.

Calculated values
calculated formation energy	0.282	eV per formula unit

Cell: 5.7608 4.9872 7.3730 Å, 90.00 90.00 90.00°
Last column: nearest neighbours and their distance in Å.
Space group Pmma (No. 51)
One atom of each set of equivalent atoms:
Ce (0.2500, 0.0000, 0.1757)  5 Mg 3.22-3.34
Mg (0.0000, 0.5000, 0.5000)  8 Mg 2.88-3.14
Mg (0.2500, 0.0000, 0.6287)  6 Mg 3.03-3.10, 3 Ce 3.22-3.34
Mg (0.2500, 0.5000, 0.8784)  6 Mg 3.10-3.39, 2 Ce 3.32



Entry 2:
Ti2PbS: relaxed, PBE-GGA.

Calculated values
E above lowest polymorph	662	meV/atom

Cell: 5.4793 5.4793 13.3205 Å, 90.00 90.00 90.00°
Last column: nearest neighbours and their distance in Å.
Space group I-42d (No. 122)
One atom of each set of equivalent atoms:
Ti (0.1628, 0.2500, 0.1250)  2 S 2.33
Pb (0.0000, 0.0000, 0.5000)  4 Ti 2.84
S (0.0000, 0.0000, 0.0000)  4 Ti 2.33



Entry 3:
Zr2B2Ir: relaxed, PBE-GGA.

Calculated values
calculated formation energy	-4.205	eV per formula unit

Cell: 6.0539 6.0539 3.6571 Å, 90.00 90.00 90.00°
Last column: nearest neighbours and their distance in Å.
Space group P4/mbm (No. 127)
One atom of each set of equivalent atoms:
Zr (0.1783, 0.3217, 0.0000)  6 B 2.56-2.57
B (0.1101, 0.6101, 0.5000)  1 B 1.89
Ir (0.0000, 0.0000, 0.5000)  4 B 2.45



Entry 4:
Sr2CuPt: relaxed, PBE-GGA.

Calculated values
calculated formation energy	-1.558	eV per formula unit

Cell: 5.2208 5.2208 3.7855 Å, 90.00 90.00 90.00°
Last column: nearest neighbours and their distance in Å.
Space group P4/mmm (No. 123)
One atom of each set of equivalent atoms:
Sr (0.0000, 0.5000, 0.0000)  4 Cu 3.22, 4 Pt 3.22
Cu (0.0000, 0.0000, 0.5000)  8 Sr 3.22
Pt (0.5000, 0.5000, 0.5000)  8 Sr 3.22



Entry 5:
Ba2ReIr: relaxed, PBE-GGA.

Calculated values
E above lowest polymorph	1055	meV/atom
calculated formation energy	4.685	eV per formula unit

Cell: 4.8405 4.8405 4.5714 Å, 90.00 90.00 90.00°
Last column: nearest neighbours and their distance in Å.
Space group P4/mmm (No. 123)
One atom of each set of equivalent atoms:
Ba (0.0000, 0.5000, 0.0000)  4 Re 3.33, 4 Ir 3.33, 4 Ba 3.42
Re (0.0000, 0.0000, 0.5000)  8 Ba 3.33, 4 Ir 3.42
Ir (0.5000, 0.5000, 0.5000)  8 Ba 3.33, 4 Re 3.42



Entry 6:
Pr2Sm3DyEr6: relaxed, PBE-GGA.

Calculated values
calculated formation energy	0.195	eV per formula unit

Cell: 6.2012 10.7366 11.7629 Å, 90.00 100.08 90.00°
Last column: nearest neighbours and their distance in Å.
Space group C2/m (No. 12)
One atom of each set of equivalent atoms:
Pr (0.0000, 0.1666, 0.0000)  6 Er 3.56-3.57, 3 Pr 3.58, 3 Dy 3.58
Sm (0.0000, 0.0000, 0.5000)  6 Er 3.55, 6 Sm 3.58
Sm (0.0000, 0.3333, 0.5000)  6 Er 3.55, 6 Sm 3.58
Dy (0.0000, 0.5000, 0.0000)  6 Er 3.56, 6 Pr 3.58
Er (0.2488, 0.5000, 0.7491)  3 Sm 3.55, 1 Dy 3.56, 2 Pr 3.57, 6 Er 3.57-3.58
Er (0.2498, 0.1664, 0.7493)  3 Sm 3.55, 1 Dy 3.56, 2 Pr 3.56-3.57, 6 Er 3.57-3.58



Entry 7:
Pr3Al2Pd6: relaxed, PBE-GGA.

Calculated values
calculated formation energy	-9.147	eV per formula unit

Cell: 9.6550 9.6550 9.6550 Å, 90.00 90.00 90.00°
Last column: nearest neighbours and their distance in Å.
Space group Im-3m (No. 229)
One atom of each set of equivalent atoms:
Pr (0.0000, 0.0000, 0.2923)  8 Pd 3.10-3.18, 4 Al 3.44
Al (0.2500, 0.2500, 0.2500)  6 Pd 2.63
Pd (0.0000, 0.3272, 0.3272)  2 Al 2.63, 4 Pd 2.79



Entry 8:
NpGaCo: relaxed, PBE-GGA.

Calculated values
calculated formation energy	-0.242	eV per formula unit

Cell: 2.8879 2.8879 11.3956 Å, 90.00 90.00 90.00°
Last column: nearest neighbours and their distance in Å.
Space group I4mm (No. 107)
One atom of each set of equivalent atoms:
Np (0.0000, 0.0000, 0.0000)  4 Co 2.79, 4 Np 2.89
Ga (0.0000, 0.0000, 0.7088)  4 Co 2.48
Co (0.0000, 0.0000, 0.3330)  4 Ga 2.48



Entry 9:
Hf2TiTlO: relaxed, PBE-GGA.

Calculated values
raw total energy	-7.9079	eV per atom

Cell: 4.5773 4.5773 4.0579 Å, 90.00 90.00 90.00°
Last column: nearest neighbours and their distance in Å.
Space group P4/mmm (No. 123)
One atom of each set of equivalent atoms:
Hf (0.0000, 0.5000, 0.0000)  2 O 2.29
Ti (0.0000, 0.0000, 0.5000)  2 O 2.03
Tl (0.5000, 0.5000, 0.5000)  8 Hf 3.06, 4 Ti 3.24
O (0.0000, 0.0000, 0.0000)  2 Ti 2.03



Entry 10:
Ac12In5Sn2: relaxed, PBE-GGA.

Calculated values
calculated formation energy	-3.501	eV per formula unit

Cell: 19.1241 7.8424 11.0032 Å, 90.00 103.10 90.00°
Last column: nearest neighbours and their distance in Å.
Space group C2/m (No. 12)
One atom of each set of equivalent atoms:
Ac (0.0107, 0.0000, 0.2886)  2 In 3.40-3.51, 2 Sn 3.49
Ac (0.0564, 0.5000, 0.8221)  2 Sn 3.41, 1 In 3.46
Ac (0.1501, 0.2505, 0.5719)  4 In 3.33-3.49
Ac (0.1776, 0.2432, 0.1088)  3 In 3.32-3.50, 1 Sn 3.36
In (0.0000, 0.5000, 0.5000)  6 Ac 3.42-3.46
In (0.1688, 0.0000, 0.8395)  7 Ac 3.40-3.50
In (0.1990, 0.0000, 0.3611)  7 Ac 3.32-3.51
Sn (0.0000, 0.1955, 0.0000)  1 Sn 3.07, 4 Ac 3.36-3.41



Entry 11:
Nd2Tl9Pb: relaxed, PBE-GGA.

Calculated values
calculated formation energy	-1.957	eV per formula unit

Cell: 4.9068 4.9068 14.5406 Å, 90.00 90.00 90.00°
Last column: nearest neighbours and their distance in Å.
Space group P4/mmm (No. 123)
One atom of each set of equivalent atoms:
Nd (0.0000, 0.0000, 0.1607)  12 Tl 3.39-3.48
Tl (0.0000, 0.5000, 0.0000)  4 Nd 3.39, 8 Tl 3.41-3.47
Tl (0.0000, 0.5000, 0.3305)  8 Tl 3.46-3.48, 2 Pb 3.48, 2 Nd 3.48
Tl (0.5000, 0.5000, 0.1630)  8 Tl 3.41-3.46, 4 Nd 3.47
Tl (0.5000, 0.5000, 0.5000)  4 Pb 3.47, 8 Tl 3.48
Pb (0.0000, 0.0000, 0.5000)  12 Tl 3.47-3.48



Entry 12:
HfHgF2: relaxed, PBE-GGA.

Calculated values
E above lowest polymorph	0	meV/atom

Cell: 2.9559 2.9559 28.8074 Å, 90.00 90.00 120.00°
Last column: nearest neighbours and their distance in Å.
Space group R-3m (No. 166, hexagonal axes)
One atom of each set of equivalent atoms:
Hf (0.0000, 0.0000, 0.0000)  6 F 2.30
Hg (0.0000, 0.0000, 0.5000)  6 Hg 2.96, 2 F 3.26
F (0.0000, 0.0000, 0.3868)  3 Hf 2.30



- What is the formula in the seventh record?
  Pr3Al2Pd6